# 1
DFT (GGA-PBE) results for an optimized crystal structure of MgNi3H.

a = 3.6921 Å, b = 3.6921 Å, c = 3.6921 Å
α = 90.00°, β = 90.00°, γ = 90.00°
Last column: nearest neighbours and their distance in Å.
Fractional positions:
1 Ni 0.0000 0.0000 0.5000  2 H 1.85
2 Ni 0.5000 0.0000 0.0000  2 H 1.85
3 Ni 0.0000 0.5000 0.0000  2 H 1.85
4 H 0.0000 0.0000 0.0000  6 Ni 1.85
5 Mg 0.5000 0.5000 0.5000  12 Ni 2.61

Output
The space group is Pm-3m (221). For the density, the calculation gives 6.64 g cm⁻³. For the energy, the calculation gives -23.1 eV per formula unit.


# 2
DFT (GGA-PBE) results for an optimized crystal structure of CdAg3F.

a = 5.2453 Å, b = 5.2453 Å, c = 5.2453 Å
α = 90.00°, β = 90.00°, γ = 90.00°
Last column: nearest neighbours and their distance in Å.
Fractional positions:
1 F 0.5000 0.5000 0.5000  12 Ag 3.71
2 Cd 0.0000 0.0000 0.0000  6 Ag 2.62
3 Ag 0.0000 0.5000 0.0000  2 Cd 2.62
4 Ag 0.5000 0.0000 0.0000  2 Cd 2.62
5 Ag 0.0000 0.0000 0.5000  2 Cd 2.62

Output
The space group is Pm-3m (221). For the density, the calculation gives 5.24 g cm⁻³. The value obtained for the formation energy without anion corrections is 0.448 eV/atom. For the energy, the calculation gives -9.1 eV per formula unit.


# 3
DFT (GGA-PBE) results for an optimized crystal structure of TbSm4Sb5.

a = 4.4597 Å, b = 6.2994 Å, c = 11.7856 Å
α = 105.50°, β = 100.91°, γ = 90.00°
Last column: nearest neighbours and their distance in Å.
Fractional positions:
1 Sb 0.5983 0.0983 0.1967  2 Tb 3.13, 4 Sm 3.15-3.17
2 Sb 0.7998 0.2998 0.5995  6 Sm 3.15-3.16
3 Sb 0.4017 0.9017 0.8033  2 Tb 3.13, 4 Sm 3.15-3.17
4 Sb 0.0000 0.5000 0.0000  2 Tb 3.15, 4 Sm 3.15
5 Sb 0.2002 0.7002 0.4005  6 Sm 3.15-3.16
6 Sm 0.8008 0.8008 0.6015  6 Sb 3.15-3.17
7 Sm 0.4001 0.4001 0.8002  6 Sb 3.15-3.16
8 Sm 0.5999 0.5999 0.1998  6 Sb 3.15-3.16
9 Sm 0.1992 0.1992 0.3985  6 Sb 3.15-3.17
10 Tb 0.0000 0.0000 0.0000  6 Sb 3.13-3.15

Output
The space group is Immm (71). For the density, the calculation gives 7.27 g cm⁻³. The value obtained for the formation energy without anion corrections is -1.171 eV/atom. For the energy, the calculation gives -55.8 eV per formula unit.


# 4
DFT (GGA-PBE) results for an optimized crystal structure of BaSc2P.

a = 3.6774 Å, b = 3.6774 Å, c = 7.9956 Å
α = 90.00°, β = 90.00°, γ = 90.00°
Last column: nearest neighbours and their distance in Å.
Fractional positions:
1 Sc 0.5000 0.5000 0.1749  1 P 2.64
2 Sc 0.0000 0.0000 0.9400  4 P 2.71
3 Ba 0.0000 0.0000 0.5408  1 Sc 3.19, 4 P 3.56
4 P 0.5000 0.5000 0.8443  5 Sc 2.64-2.71

Output
The space group is P4mm (99). For the density, the calculation gives 3.97 g cm⁻³. For the energy, the calculation gives -22.0 eV per formula unit. The energy of formation from the pure elements comes out at -0.50 eV/atom.


# 5
DFT (GGA-PBE) results for an optimized crystal structure of CeSmSc.

a = 3.4409 Å, b = 3.4409 Å, c = 8.3958 Å
α = 90.00°, β = 90.00°, γ = 120.00°
Last column: nearest neighbours and their distance in Å.
Fractional positions:
1 Sc 0.6667 0.3333 0.3393  3 Ce 3.32, 6 Sc 3.44, 3 Sm 3.45
2 Ce 0.3333 0.6667 0.6567  3 Sc 3.32, 6 Ce 3.44, 3 Sm 3.53
3 Sm 0.0000 0.0000 0.0040  6 Sm 3.44, 3 Sc 3.45, 3 Ce 3.53

Output
The space group is P3m1 (156). For the density, the calculation gives 6.47 g cm⁻³. For the energy, the calculation gives -16.7 eV per formula unit. The energy of formation from the pure elements comes out at 0.09 eV/atom.


# 6
DFT (GGA-PBE) results for an optimized crystal structure of CsSc2H.

a = 5.0744 Å, b = 5.0744 Å, c = 5.0744 Å
α = 60.00°, β = 60.00°, γ = 60.00°
Last column: nearest neighbours and their distance in Å.
Fractional positions:
1 H 0.0000 0.0000 0.0000  8 Sc 3.11
2 Sc 0.2500 0.2500 0.2500  4 Cs 3.11, 4 H 3.11
3 Sc 0.7500 0.7500 0.7500  4 H 3.11, 4 Cs 3.11
4 Cs 0.5000 0.5000 0.5000  8 Sc 3.11

Output
The space group is Fm-3m (225). For the density, the calculation gives 4.02 g cm⁻³. For the energy, the calculation gives -11.8 eV per formula unit.